CoPOs | Alexandria | PBE | optimized geometry; energy relative to the elements = -0.049 eV per atom; symmetry = Amm2; ΔE to the lowest computed polymorph = 169 meV/atom
1.0
2.9367 0.0000 0.0000
0.0000 3.2085 0.0000
0.0000 0.0000 8.0640
Co P Os
2 2 2
direct
0.0000 0.0000 0.0000
0.0000 0.5000 0.5000
0.5000 0.0000 0.4231
0.5000 0.5000 0.9231
0.5000 0.0000 0.7146
0.5000 0.5000 0.2146